A plane-wave DFT calculation with PBE was carried out for ErTmIn2Pt4 after structural relaxation.

Unit cell a=4.5635 b=4.5635 c=8.9607 alpha=90.00 beta=90.00 gamma=120.00
With the nearest neighbours (Å) after each atom.
Space group P-6m2 (No. 187)
Asymmetric unit:
Er  0.0000  0.0000  0.0000 (multiplicity 1)  8 Pt 2.99-3.08
Tm  0.3333  0.6667  0.5000 (multiplicity 1)  8 Pt 2.99-3.06
In  0.6667  0.3333  0.2504 (multiplicity 2)  6 Pt 2.76
Pt  0.0000  0.0000  0.3432 (multiplicity 2)  3 In 2.76, 1 Pt 2.81, 3 Tm 2.99, 1 Er 3.08
Pt  0.3333  0.6667  0.1580 (multiplicity 2)  3 In 2.76, 1 Pt 2.83, 3 Er 2.99, 1 Tm 3.06

Values from the calculation:
The value obtained for the total energy is -5.8174 eV per atom.